Density functional theory data (GGA-PBE) for a geometry-optimized PrTm3B structure.

Output
total magnetization	0.000	μB per atom
DFT total energy	-4.948	eV/atom
volume	26.75	Å³ per atom
formation energy from the elements	0.026	eV per atom

Cell: 5.114 5.114 5.114 Å, 90.00 90.00 90.00°
Element x y z (fractional)
1 Tm 0.000 0.500 0.000
2 Tm 0.000 0.000 0.500
3 Pr 0.500 0.500 0.500
4 B 0.000 0.000 0.000
5 Tm 0.500 0.000 0.000